## ScGeTeIr2 (PBEsol)

Data for crystalline ScGeTeIr2 at its relaxed geometry.

Lattice parameters (Å, degrees): 4.713 4.713 4.887 90.00 90.00 90.00
Space group P4/mmm (No. 123)
Unique sites:
Sc  0.000  0.000  0.000 (multiplicity 1)
Ge  0.000  0.000  0.500 (multiplicity 1)
Te  0.500  0.500  0.500 (multiplicity 1)
Ir  0.000  0.500  0.000 (multiplicity 2)

Values from the calculation:
magnetic moment: 0.000 μB/atom
calculated volume: 21.705 A^3/atom
ΔE_f (raw): 1.13 eV per atom
uncorrected energy: -5.8181 eV/atom